Below is a relaxed RbCSe2N crystal, with properties calculated at the PBE level.

abc: 6.5918 6.5918 5.6475
angles: 90.00 90.00 90.00
Atoms (fractional coordinates):
Rb: 0.0000 0.0000 0.0000
C: 0.5000 0.5000 0.5000
Se: 0.0000 0.5000 0.0000
Se: 0.5000 0.0000 0.0000
N: 0.0000 0.0000 0.5000

- Polymorph energy (0 for the lowest one): 1.416 eV/atom
- Space-group type: P4/mmm
- Crystal system: tetragonal
- Energy: -2.23 eV/atom
- Fermi-level density of states: 5.0 states/eV per cell


Below is a relaxed RbTeCN2 crystal, with properties calculated at the PBE level.

abc: 4.7824 4.7824 4.5475
angles: 90.00 90.00 90.00
Atoms (fractional coordinates):
Rb: 0.0000 0.0000 0.0000
Te: 0.5000 0.5000 0.0000
C: 0.5000 0.5000 0.5000
N: 0.0000 0.5000 0.5000
N: 0.5000 0.0000 0.5000

- Polymorph energy (0 for the lowest one): 0.000 eV/atom
- Space-group type: P4/mmm
- Crystal system: tetragonal
- Energy: -3.62 eV/atom
- Fermi-level density of states: 2.8 states/eV per cell


Below is a relaxed RbTeCN2 crystal, with properties calculated at the PBE level.

abc: 5.2866 5.2866 7.5104
angles: 90.00 90.00 90.00
Atoms (fractional coordinates):
Rb: 0.0000 0.0000 0.0000
Te: 0.0000 0.0000 0.5000
C: 0.5000 0.5000 0.5000
N: 0.0000 0.5000 0.0000
N: 0.5000 0.0000 0.0000

- Polymorph energy (0 for the lowest one): 1.010 eV/atom
- Space-group type: P4/mmm
- Crystal system: tetragonal
- Energy: -2.61 eV/atom
- Fermi-level density of states: 5.2 states/eV per cell


Below is a relaxed RbTh3C4N12 crystal, with properties calculated at the PBE level.

abc: 6.9738 6.9738 6.9738
angles: 101.55 101.55 101.55
Atoms (fractional coordinates):
Rb: 0.0000 0.0000 0.0000
Th: 0.0000 0.5333 0.4667
Th: 0.4667 0.0000 0.5333
Th: 0.5333 0.4667 0.0000
C: 0.0110 0.5000 0.9890
C: 0.5000 0.5000 0.5000
C: 0.5000 0.9890 0.0110
C: 0.9890 0.0110 0.5000
N: 0.0369 0.5596 0.8221
N: 0.1088 0.8912 0.5000
N: 0.1779 0.4404 0.9631
N: 0.3737 0.6263 0.5000
N: 0.4404 0.9631 0.1779
N: 0.5000 0.1088 0.8912
N: 0.5000 0.3737 0.6263
N: 0.5596 0.8221 0.0369
N: 0.6263 0.5000 0.3737
N: 0.8221 0.0369 0.5596
N: 0.8912 0.5000 0.1088
N: 0.9631 0.1779 0.4404

- Space-group type: R32
- Crystal system: trigonal
- Energy: -8.24 eV/atom
- Fermi-level density of states: 4.7 states/eV per cell


Below is a relaxed RbZr2CN crystal, with properties calculated at the PBE level.

abc: 4.3928 4.3928 5.2790
angles: 90.00 90.00 90.00
Atoms (fractional coordinates):
Rb: 0.0000 0.0000 0.0000
Zr: 0.0000 0.5000 0.5000
Zr: 0.5000 0.0000 0.5000
C: 0.5000 0.5000 0.0000
N: 0.5000 0.5000 0.5000

- Space-group type: P4/mmm
- Crystal system: tetragonal
- Energy: -5.95 eV/atom
- Fermi-level density of states: 4.7 states/eV per cell


Below is a relaxed Re2CN2 crystal, with properties calculated at the PBE level.

abc: 6.0333 6.0333 2.6280
angles: 90.00 90.00 90.00
Atoms (fractional coordinates):
Re: 0.1799 0.3201 0.0000
Re: 0.3201 0.8201 0.0000
Re: 0.6799 0.1799 0.0000
Re: 0.8201 0.6799 0.0000
C: 0.0000 0.0000 0.5000
C: 0.5000 0.5000 0.5000
N: 0.1292 0.6292 0.5000
N: 0.3708 0.1292 0.5000
N: 0.6292 0.8708 0.5000
N: 0.8708 0.3708 0.5000

- Polymorph energy (0 for the lowest one): 0.453 eV/atom
- Space-group type: P4/mbm
- Crystal system: tetragonal
- Energy: -8.62 eV/atom
- Fermi-level density of states: 3.7 states/eV per cell


Below is a relaxed ReC3N crystal, with properties calculated at the PBE level.

abc: 3.4225 3.4225 3.4225
angles: 90.00 90.00 90.00
Atoms (fractional coordinates):
Re: 0.0000 0.0000 0.0000
C: 0.0000 0.5000 0.5000
C: 0.5000 0.0000 0.5000
C: 0.5000 0.5000 0.0000
N: 0.5000 0.5000 0.5000

- Polymorph energy (0 for the lowest one): 0.196 eV/atom
- Space-group type: Pm-3m
- Crystal system: cubic
- Energy: -6.74 eV/atom
- Fermi-level density of states: 2.0 states/eV per cell


Below is a relaxed Re2CN4 crystal, with properties calculated at the PBE level.

abc: 7.0798 7.0798 7.0798
angles: 155.26 155.26 35.27
Atoms (fractional coordinates):
Re: 0.1556 0.1556 0.0000
Re: 0.8444 0.8444 0.0000
C: 0.5000 0.5000 0.0000
N: 0.0000 0.5000 0.5000
N: 0.3075 0.3075 0.0000
N: 0.5000 0.0000 0.5000
N: 0.6925 0.6925 0.0000

- Space-group type: I4/mmm
- Crystal system: tetragonal
- Energy: -7.86 eV/atom
- Fermi-level density of states: 3.5 states/eV per cell


no.,calculated volume (Å³/atom)
1,49.08
2,20.80
3,41.98
4,15.76
5,20.37
6,9.57
7,8.02
8,8.87